1.
Below is a relaxed structure of LiTc2Se, with properties calculated at the PBE level.

Geometry as POSCAR:
```
LiTc2Se
1.0
5.7937 -0.0066 0.0427
5.0601 2.8218 0.0427
1.3829 0.3587 3.7683
Li Se Tc
1 1 2
direct
0.7500 0.7500 0.7500
0.2500 0.2500 0.2500
0.9535 0.9535 0.0465
0.5465 0.5465 0.4535
```

Summary:
The calculation puts the formation energy from raw total energies at 82 meV per atom. Its crystal system is monoclinic. The density comes out at 7.605 Mg/m³. As for the raw total energy: -6.451 eV/atom.

2.
Below is a relaxed structure of ZrAg3Br9, with properties calculated at the PBE level.

Geometry as POSCAR:
```
ZrAg3Br9
1.0
-3.7442 -6.8251 0.6666
6.0325 -7.9850 -2.0828
-0.2948 -2.9823 13.5973
Zr Ag Br
2 6 18
direct
0.0744 0.4809 0.9838
0.4609 0.9809 0.4838
0.6831 0.5764 0.5942
0.1463 0.0764 0.0942
0.8662 0.8949 0.9636
0.2753 0.3949 0.4636
0.5666 0.2325 0.7320
0.4689 0.7325 0.2320
0.5452 0.1587 0.3531
0.9429 0.6587 0.8531
0.4495 0.4367 0.8882
0.2255 0.9367 0.3882
0.1437 0.2266 0.5780
0.0517 0.7266 0.0780
0.6960 0.5249 0.0789
0.7003 0.0249 0.5789
0.7558 0.7772 0.3582
0.1089 0.2772 0.8582
0.3541 0.8504 0.6278
0.1678 0.3504 0.1278
0.4142 0.5399 0.3395
0.7064 0.0399 0.8395
0.4776 0.4308 0.6178
0.4738 0.9308 0.1178
0.8248 0.1275 0.0628
0.9849 0.6275 0.5628
```

Summary:
The calculation puts the formation energy from raw total energies at -643 meV per atom. Its crystal system is monoclinic. The density comes out at 3.875 Mg/m³. As for the raw total energy: -3.117 eV/atom.

3.
Below is a relaxed structure of Co2TePb, with properties calculated at the PBE level.

Geometry as POSCAR:
```
Co2TePb
1.0
-3.9078 0.1930 0.8397
-2.6872 -1.2289 -2.6984
-1.9578 -6.1348 1.7902
Co Pb Te
2 1 1
direct
0.0308 0.0308 0.9077
0.7066 0.7066 0.8798
0.4692 0.4692 0.5912
0.2934 0.2934 0.1213
```

Summary:
The calculation puts the formation energy from raw total energies at 125 meV per atom. Its crystal system is monoclinic. The density comes out at 8.634 Mg/m³. As for the raw total energy: -5.141 eV/atom. The energy above the most stable polymorph in this dataset comes out at 0 meV per atom.

4.
Below is a relaxed structure of Rb4Ce3CdTe8, with properties calculated at the PBE level.

Geometry as POSCAR:
```
Rb4Ce3CdTe8
1.0
-6.9368 4.2761 -4.4127
-9.0393 -6.3854 8.0220
7.8608 4.5605 1.7926
Rb Ce Cd Te
4 3 1 8
direct
0.5000 0.0000 0.0000
0.5000 0.0000 0.5000
0.0000 0.0000 0.0000
0.0000 0.0000 0.5000
0.5000 0.5000 0.0000
0.5000 0.5000 0.5000
0.0000 0.5000 0.5000
0.0000 0.5000 0.0000
0.9670 0.6994 0.4318
0.0329 0.3009 0.0658
0.4692 0.7039 0.9384
0.4648 0.6994 0.4318
0.5352 0.3006 0.5682
0.5308 0.2961 0.0616
0.9671 0.6991 0.9342
0.0330 0.3006 0.5682
```

Summary:
The calculation puts the formation energy from raw total energies at -1158 meV per atom. Its crystal system is trigonal. The density comes out at 4.976 Mg/m³. As for the raw total energy: -4.140 eV/atom.

5.
Below is a relaxed structure of TiAlAg, with properties calculated at the PBE level.

Geometry as POSCAR:
```
TiAlAg
1.0
-0.5116 7.5664 0.3916
-4.7727 1.3455 -0.6303
-0.2673 0.3752 2.8165
Al Ag Ti
2 2 2
direct
0.0413 0.8798 0.9321
0.6962 0.6981 0.1042
0.3725 0.0399 0.7668
0.3650 0.5382 0.2699
0.0218 0.3868 0.4419
0.7158 0.1911 0.5946
```

Summary:
Its crystal system is monoclinic. The density comes out at 6.046 Mg/m³. As for the raw total energy: -5.009 eV/atom.

6.
Below is a relaxed structure of Sm2PdAu3, with properties calculated at the PBE level.

Geometry as POSCAR:
```
Sm2PdAu3
1.0
-0.7817 -3.4644 -0.4946
0.7822 -0.8487 4.7078
-7.5711 1.4904 1.5267
Sm Pd Au
2 1 3
direct
0.0000 0.5000 0.0134
0.0000 0.0000 0.4945
0.5000 0.5000 0.3235
0.5000 0.0000 0.8275
0.5000 0.0000 0.1744
0.5000 0.5000 0.6666
```

Summary:
Its crystal system is orthorhombic. The density comes out at 12.122 Mg/m³. As for the raw total energy: -4.829 eV/atom. The energy above the most stable polymorph in this dataset comes out at 16 meV per atom.

7.
Below is a relaxed structure of CuReP2, with properties calculated at the PBE level.

Geometry as POSCAR:
```
CuReP2
1.0
-0.4200 3.6434 -2.3402
-0.6819 -1.8231 -3.8908
-2.2199 -0.6230 3.6894
Cu P Re
1 2 1
direct
0.2500 0.7500 0.5000
0.0185 0.0185 0.0000
0.4815 0.4815 0.0000
0.7500 0.2500 0.5000
```

Summary:
Its crystal system is orthorhombic. The density comes out at 9.774 Mg/m³. As for the raw total energy: -6.574 eV/atom. The energy above the most stable polymorph in this dataset comes out at 323 meV per atom.

8.
Below is a relaxed structure of Li2TlAu6, with properties calculated at the PBE level.

Geometry as POSCAR:
```
Li2TlAu6
1.0
4.9521 -0.0995 0.8700
0.6284 7.7723 3.8034
0.9837 -0.1040 8.9642
Li Tl Au
4 2 12
direct
0.4274 0.5215 0.7794
0.1317 0.2163 0.4879
0.5726 0.4785 0.2206
0.8683 0.7837 0.5121
0.2484 0.1312 0.9208
0.7516 0.8688 0.0792
0.4230 0.6723 0.4296
0.0113 0.5721 0.3253
0.5770 0.3277 0.5704
0.9887 0.4279 0.6747
0.7076 0.1281 0.3734
0.8775 0.6282 0.8656
0.2924 0.8719 0.6266
0.1225 0.3718 0.1344
0.3122 0.7157 0.9786
0.2865 0.0236 0.2793
0.6878 0.2843 0.0214
0.7135 0.9764 0.7207
```

Summary:
Its crystal system is triclinic. The density comes out at 13.657 Mg/m³. As for the raw total energy: -3.129 eV/atom.

9.
Below is a relaxed structure of MoP2Ru, with properties calculated at the PBE level.

Geometry as POSCAR:
```
MoP2Ru
1.0
7.6234 -0.0065 -0.0039
7.0412 2.9219 -0.0039
7.0412 1.3998 2.5648
Mo P Ru
1 2 1
direct
0.7416 0.7416 0.7416
0.9992 0.9992 0.9992
0.2483 0.2483 0.2483
0.5108 0.5108 0.5108
```

Summary:
Its crystal system is trigonal. The density comes out at 7.501 Mg/m³. As for the raw total energy: -7.862 eV/atom.

10.
Below is a relaxed structure of ZnFeAu2, with properties calculated at the PBE level.

Geometry as POSCAR:
```
ZnFeAu2
1.0
-0.9272 -3.6701 -3.8781
3.8107 -3.6912 -1.1059
-3.4684 2.1662 3.5562
Au Fe Zn
2 1 1
direct
0.0116 0.0116 0.0000
0.7381 0.2381 0.5000
0.4912 0.4912 0.0000
0.2591 0.7591 0.5000
```

Summary:
Its crystal system is orthorhombic. The density comes out at 13.527 Mg/m³. As for the raw total energy: -4.030 eV/atom.

11.
Below is a relaxed structure of CeNdHoTm2, with properties calculated at the PBE level.

Geometry as POSCAR:
```
CeNdHoTm2
1.0
7.2925 0.0000 0.0000
0.0000 7.5482 1.3984
0.0000 -1.0515 5.6759
Ce Nd Ho Tm
2 2 2 4
direct
0.0000 0.0000 0.0000
0.0000 0.0000 0.5000
0.1622 0.5000 0.7500
0.8378 0.5000 0.2500
0.6180 0.0000 0.2500
0.3820 0.0000 0.7500
0.6738 0.7101 0.7500
0.6738 0.2899 0.7500
0.3262 0.7101 0.2500
0.3262 0.2899 0.2500
```

Summary:
Its crystal system is orthorhombic. The density comes out at 8.090 Mg/m³. As for the raw total energy: -4.550 eV/atom.

12.
Below is a relaxed structure of SrCrP, with properties calculated at the PBE level.

Geometry as POSCAR:
```
SrCrP
1.0
-2.1166 -4.1346 1.0678
0.9503 -3.8978 -2.5727
2.5388 -3.5539 1.9076
Cr P Sr
1 1 1
direct
0.5000 0.5000 0.5000
0.7500 0.7500 0.7500
0.0000 0.0000 0.0000
```

Summary:
Its crystal system is cubic. The density comes out at 3.700 Mg/m³. As for the raw total energy: -5.723 eV/atom.

13.
Below is a relaxed structure of KAlOsO6, with properties calculated at the PBE level.

Geometry as POSCAR:
```
KAlOsO6
1.0
5.0887 0.0000 0.0000
2.5444 4.4069 0.0001
0.0001 -0.0002 6.0232
K Al Os O
1 1 1 6
direct
0.0000 0.0000 0.0000
0.6666 0.6667 0.5000
0.3333 0.3333 0.5000
0.0062 0.3893 0.3229
0.3893 0.0062 0.6771
0.6044 0.3893 0.6770
0.0062 0.6044 0.6771
0.3893 0.6044 0.3229
0.6044 0.0062 0.3229
```

Summary:
The calculation puts the formation energy from raw total energies at -1605 meV per atom. Its crystal system is trigonal. The density comes out at 4.331 Mg/m³. As for the raw total energy: -6.696 eV/atom.

14.
Below is a relaxed structure of RbP2Rh, with properties calculated at the PBE level.

Geometry as POSCAR:
```
RbP2Rh
1.0
2.6069 2.0423 3.3535
-2.0618 2.6836 3.2803
-0.2784 -1.5185 4.4530
P Rh Rb
2 1 1
direct
0.2500 0.2500 0.2500
0.7500 0.7500 0.7500
0.5000 0.5000 0.5000
0.0000 0.0000 0.0000
```

Summary:
Its crystal system is cubic. The density comes out at 5.615 Mg/m³. As for the raw total energy: -4.152 eV/atom. The energy above the most stable polymorph in this dataset comes out at 820 meV per atom.

15.
Below is a relaxed structure of NaSbSe2, with properties calculated at the PBE level.

Geometry as POSCAR:
```
NaSbSe2
1.0
-4.0519 -5.8892 -2.2218
-1.0937 -7.4003 0.2752
-4.5027 -5.6692 1.9035
Sb Se Na
1 2 1
direct
0.5000 0.5000 0.5000
0.2443 0.2443 0.2443
0.7557 0.7557 0.7557
0.0000 0.0000 0.0000
```

Summary:
The calculation puts the formation energy from raw total energies at -637 meV per atom. Its crystal system is trigonal. The density comes out at 4.739 Mg/m³. As for the raw total energy: -3.739 eV/atom.

16.
Below is a relaxed structure of YGe2PtRh2, with properties calculated at the PBE level.

Geometry as POSCAR:
```
YGe2PtRh2
1.0
-2.1633 2.4288 3.3360
-2.0685 -3.8975 1.4963
4.2446 -0.9347 3.4331
Y Ge Pt Rh
1 2 1 2
direct
0.0000 0.0000 0.5000
0.5000 0.0000 0.0000
0.0000 0.5000 0.0000
0.0000 0.0000 0.0000
0.5000 0.5000 0.7430
0.5000 0.5000 0.2570
```

Summary:
Its crystal system is tetragonal. The density comes out at 8.771 Mg/m³. As for the raw total energy: -6.281 eV/atom.

17.
Below is a relaxed structure of KCdPt2, with properties calculated at the PBE level.

Geometry as POSCAR:
```
KCdPt2
1.0
-8.8660 -2.2521 -4.2448
-7.8969 -5.0585 -3.7075
-9.3250 -3.5154 -1.5434
Cd K Pt
1 1 2
direct
0.2500 0.2500 0.2500
0.7500 0.7500 0.7500
0.9915 0.9915 0.9915
0.5085 0.5085 0.5085
```

Summary:
Its crystal system is trigonal. The density comes out at 11.486 Mg/m³. As for the raw total energy: -3.441 eV/atom. The energy above the most stable polymorph in this dataset comes out at 295 meV per atom.

18.
Below is a relaxed structure of BeVNi14, with properties calculated at the PBE level.

Geometry as POSCAR:
```
BeVNi14
1.0
4.9726 -0.0108 0.0000
0.0103 4.9726 0.0000
0.0000 0.0000 6.9781
Be V Ni
1 1 14
direct
0.3750 0.3750 0.5000
0.8750 0.8750 0.5000
0.8750 0.8750 0.0000
0.3750 0.3750 0.0000
0.8750 0.3750 0.5000
0.8750 0.3750 0.0000
0.3750 0.8750 0.5000
0.3750 0.8750 0.0000
0.6224 0.1276 0.2535
0.6224 0.1276 0.7465
0.1276 0.6224 0.2535
0.1276 0.6224 0.7465
0.6224 0.6224 0.2536
0.6224 0.6224 0.7464
0.1277 0.1277 0.2536
0.1277 0.1277 0.7464
```

Summary:
Its crystal system is tetragonal. The density comes out at 8.485 Mg/m³. As for the raw total energy: -5.949 eV/atom.

19.
Below is a relaxed structure of Tb2TmAu4, with properties calculated at the PBE level.

Geometry as POSCAR:
```
Tb2TmAu4
1.0
-4.1763 -3.1192 -0.6784
3.1657 -3.9035 -1.5401
1.0812 1.2191 8.1031
Tb Tm Au
2 1 4
direct
0.6176 0.6176 0.2353
0.3824 0.3824 0.7647
0.0000 0.0000 0.0000
0.8113 0.8113 0.6225
0.1887 0.1887 0.3775
0.0000 0.5000 0.0000
0.5000 0.0000 0.0000
```

Summary:
Its crystal system is tetragonal. The density comes out at 10.376 Mg/m³. As for the raw total energy: -4.127 eV/atom. The energy above the most stable polymorph in this dataset comes out at 420 meV per atom.

20.
Below is a relaxed structure of Ac2Tl6Pd3, with properties calculated at the PBE level.

Geometry as POSCAR:
```
Ac2Tl6Pd3
1.0
4.6832 0.0000 0.0000
0.0000 7.4432 -4.2973
0.0000 0.0000 8.5946
Ac Tl Pd
2 6 3
direct
0.0000 0.6667 0.3333
0.0000 0.3333 0.6667
0.5000 0.6916 0.6916
0.5000 0.0000 0.3084
0.0000 0.2072 0.2072
0.0000 0.7928 0.0000
0.5000 0.3084 0.0000
0.0000 0.0000 0.7928
0.5000 0.3751 0.3751
0.5000 0.6249 0.0000
0.5000 0.0000 0.6249
```

Summary:
Its crystal system is hexagonal. The density comes out at 11.083 Mg/m³. As for the raw total energy: -3.767 eV/atom.

| no. | magnetization (μB/f.u.) |
| --- | --- |
| 1 | 0.000 |
| 2 | 0.000 |
| 3 | 3.164 |
| 4 | 2.009 |
| 5 | 0.001 |
| 6 | 0.000 |
| 7 | 0.017 |
| 8 | 0.000 |
| 9 | 0.000 |
| 10 | 2.854 |
| 11 | 1.396 |
| 12 | 4.950 |
| 13 | 0.000 |
| 14 | 0.000 |
| 15 | 0.000 |
| 16 | 0.000 |
| 17 | 0.000 |
| 18 | 5.791 |
| 19 | 0.000 |
| 20 | 0.000 |